Computed, not measured: crystalline Ba2RhW at its relaxed geometry at the PBE-GGA level of DFT.

Volume (Å³ per cell): 116.13
N(E_F) (states/eV per cell): 2.93
E_form (eV/f.u.): 4.492

Structure (CIF):
```
data_Ba2RhW
_chemical_formula_sum 'Ba2 Rh1 W1'
_cell_length_a 3.912
_cell_length_b 3.912
_cell_length_c 7.591
_cell_angle_alpha 90.00
_cell_angle_beta 90.00
_cell_angle_gamma 90.00
_symmetry_space_group_name_H-M 'P 4/m m m'
_symmetry_Int_Tables_number 123
_symmetry_space_group_name_Hall '-P 4 2'
loop_
_atom_site_label
_atom_site_type_symbol
_atom_site_fract_x
_atom_site_fract_y
_atom_site_fract_z
_atom_site_occupancy
Ba1 Ba 0.000 0.000 0.232 1
Rh1 Rh 0.500 0.500 0.000 1
W1 W 0.500 0.500 0.500 1
```

Computed, not measured: crystalline Ba2RhW at its relaxed geometry at the PBE-GGA level of DFT.

Volume (Å³ per cell): 437.15
N(E_F) (states/eV per cell): 24.28
E_form (eV/f.u.): 4.760

Structure (CIF):
```
data_Ba2RhW
_chemical_formula_sum 'Ba8 Rh4 W4'
_cell_length_a 7.589
_cell_length_b 7.589
_cell_length_c 7.589
_cell_angle_alpha 90.00
_cell_angle_beta 90.00
_cell_angle_gamma 90.00
_symmetry_space_group_name_H-M 'F -4 3 m'
_symmetry_Int_Tables_number 216
_symmetry_space_group_name_Hall 'F -4 2 3'
loop_
_atom_site_label
_atom_site_type_symbol
_atom_site_fract_x
_atom_site_fract_y
_atom_site_fract_z
_atom_site_occupancy
Ba1 Ba 0.000 0.000 0.000 1
Ba2 Ba 0.250 0.250 0.250 1
Rh1 Rh 0.000 0.000 0.500 1
W1 W 0.250 0.250 0.750 1
```

Computed, not measured: crystalline BaRhW4 at its relaxed geometry at the PBE-GGA level of DFT.

Volume (Å³ per cell): 469.01
N(E_F) (states/eV per cell): 23.96
E_form (eV/f.u.): 6.132

Structure (CIF):
```
data_BaRhW4
_chemical_formula_sum 'Ba4 Rh4 W16'
_cell_length_a 7.770
_cell_length_b 7.770
_cell_length_c 7.770
_cell_angle_alpha 90.00
_cell_angle_beta 90.00
_cell_angle_gamma 90.00
_symmetry_space_group_name_H-M 'F -4 3 m'
_symmetry_Int_Tables_number 216
_symmetry_space_group_name_Hall 'F -4 2 3'
loop_
_atom_site_label
_atom_site_type_symbol
_atom_site_fract_x
_atom_site_fract_y
_atom_site_fract_z
_atom_site_occupancy
Ba1 Ba 0.000 0.000 0.000 1
Rh1 Rh 0.250 0.250 0.750 1
W1 W 0.125 0.125 0.375 1
```

Computed, not measured: crystalline Ba2RhW at its relaxed geometry at the PBE-GGA level of DFT.

Volume (Å³ per cell): 105.19
N(E_F) (states/eV per cell): 4.79
E_form (eV/f.u.): 4.358

Structure (CIF):
```
data_Ba2RhW
_chemical_formula_sum 'Ba2 Rh1 W1'
_cell_length_a 3.288
_cell_length_b 3.288
_cell_length_c 9.732
_cell_angle_alpha 90.00
_cell_angle_beta 90.00
_cell_angle_gamma 90.00
_symmetry_space_group_name_H-M 'P 4/m m m'
_symmetry_Int_Tables_number 123
_symmetry_space_group_name_Hall '-P 4 2'
loop_
_atom_site_label
_atom_site_type_symbol
_atom_site_fract_x
_atom_site_fract_y
_atom_site_fract_z
_atom_site_occupancy
Ba1 Ba 0.000 0.000 0.226 1
Rh1 Rh 0.500 0.500 0.000 1
W1 W 0.500 0.500 0.500 1
```

Computed, not measured: crystalline Ba2RhW2 at its relaxed geometry at the PBE-GGA level of DFT.

Volume (Å³ per cell): 314.10
N(E_F) (states/eV per cell): 7.88
E_form (eV/f.u.): 6.678

Structure (CIF):
```
data_Ba2RhW2
_chemical_formula_sum 'Ba4 Rh2 W4'
_cell_length_a 6.597
_cell_length_b 6.597
_cell_length_c 7.218
_cell_angle_alpha 90.00
_cell_angle_beta 90.00
_cell_angle_gamma 90.00
_symmetry_space_group_name_H-M 'I 4/m m m'
_symmetry_Int_Tables_number 139
_symmetry_space_group_name_Hall '-I 4 2'
loop_
_atom_site_label
_atom_site_type_symbol
_atom_site_fract_x
_atom_site_fract_y
_atom_site_fract_z
_atom_site_occupancy
Ba1 Ba 0.000 0.500 0.250 1
Rh1 Rh 0.000 0.000 0.000 1
W1 W 0.000 0.000 0.348 1
```

Computed, not measured: crystalline BaRh3W at its relaxed geometry at the PBE-GGA level of DFT.

Volume (Å³ per cell): 114.48
N(E_F) (states/eV per cell): 4.57
E_form (eV/f.u.): 1.852

Structure (CIF):
```
data_BaRh3W
_chemical_formula_sum 'Ba1 Rh3 W1'
_cell_length_a 4.856
_cell_length_b 4.856
_cell_length_c 4.856
_cell_angle_alpha 90.00
_cell_angle_beta 90.00
_cell_angle_gamma 90.00
_symmetry_space_group_name_H-M 'P m -3 m'
_symmetry_Int_Tables_number 221
_symmetry_space_group_name_Hall '-P 4 2 3'
loop_
_atom_site_label
_atom_site_type_symbol
_atom_site_fract_x
_atom_site_fract_y
_atom_site_fract_z
_atom_site_occupancy
Ba1 Ba 0.000 0.000 0.000 1
Rh1 Rh 0.000 0.500 0.500 1
W1 W 0.500 0.500 0.500 1
```

Computed, not measured: crystalline Ba2RhW at its relaxed geometry at the PBE-GGA level of DFT.

Volume (Å³ per cell): 220.23
N(E_F) (states/eV per cell): 6.14
E_form (eV/f.u.): 4.605

Structure (CIF):
```
data_Ba2RhW
_chemical_formula_sum 'Ba4 Rh2 W2'
_cell_length_a 4.064
_cell_length_b 5.259
_cell_length_c 10.303
_cell_angle_alpha 90.00
_cell_angle_beta 90.00
_cell_angle_gamma 90.00
_symmetry_space_group_name_H-M 'I m m m'
_symmetry_Int_Tables_number 71
_symmetry_space_group_name_Hall '-I 2 2'
loop_
_atom_site_label
_atom_site_type_symbol
_atom_site_fract_x
_atom_site_fract_y
_atom_site_fract_z
_atom_site_occupancy
Ba1 Ba 0.000 0.000 0.211 1
Rh1 Rh 0.000 0.500 0.500 1
W1 W 0.000 0.500 0.000 1
```

Computed, not measured: crystalline Ba2RhW at its relaxed geometry at the PBE-GGA level of DFT.

Volume (Å³ per cell): 231.93
N(E_F) (states/eV per cell): 7.38
E_form (eV/f.u.): 4.702

Structure (CIF):
```
data_Ba2RhW
_chemical_formula_sum 'Ba4 Rh2 W2'
_cell_length_a 5.115
_cell_length_b 5.115
_cell_length_c 8.865
_cell_angle_alpha 90.00
_cell_angle_beta 90.00
_cell_angle_gamma 90.00
_symmetry_space_group_name_H-M 'I 4/m m m'
_symmetry_Int_Tables_number 139
_symmetry_space_group_name_Hall '-I 4 2'
loop_
_atom_site_label
_atom_site_type_symbol
_atom_site_fract_x
_atom_site_fract_y
_atom_site_fract_z
_atom_site_occupancy
Ba1 Ba 0.000 0.500 0.250 1
Rh1 Rh 0.000 0.000 0.000 1
W1 W 0.000 0.000 0.500 1
```